1.
Hf2Rh2Au (PBE, optimized geometry); E_tot = -0.30627 hartree per atom; V = 179.3 Å³/cell; relative energy among the computed polymorphs = 0.0 meV per atom; energy relative to the elements = -3.78 eV/f.u.; D(E_F) = 8.4 states/eV per cell
1.0
7.5010 0.0000 0.0000
0.0000 7.5010 0.0000
0.0000 0.0000 3.1864
Hf Rh Au
4 4 2
direct
0.1642 0.3358 0.0000 Hf
0.3358 0.8358 0.0000 Hf
0.6642 0.1642 0.0000 Hf
0.8358 0.6642 0.0000 Hf
0.1352 0.6352 0.5000 Rh
0.3648 0.1352 0.5000 Rh
0.6352 0.8648 0.5000 Rh
0.8648 0.3648 0.5000 Rh
0.0000 0.0000 0.5000 Au
0.5000 0.5000 0.5000 Au



2.
Re2WSe (PBE, optimized geometry); E_tot = -0.37102 hartree per atom; V = 61.3 Å³/cell; D(E_F) = 1.2 states/eV per cell
1.0
2.9845 0.0000 0.0000
0.0000 2.9845 0.0000
0.0000 0.0000 6.8861
Re W Se
2 1 1
direct
0.0000 0.0000 0.0000 Re
0.5000 0.5000 0.2402 Re
0.5000 0.5000 0.7325 W
0.0000 0.0000 0.4982 Se



3.
CaMgCo3 (PBE, optimized geometry); E_tot = -0.14584 hartree per atom; V = 94.2 Å³/cell; relative energy among the computed polymorphs = 0.0 meV per atom; energy relative to the elements = 5.07 eV/f.u.; D(E_F) = 9.1 states/eV per cell
1.0
4.5509 0.0000 0.0000
0.0000 4.5509 0.0000
0.0000 0.0000 4.5509
Ca Mg Co
1 1 3
direct
0.0000 0.0000 0.0000 Ca
0.5000 0.5000 0.5000 Mg
0.0000 0.5000 0.5000 Co
0.5000 0.0000 0.5000 Co
0.5000 0.5000 0.0000 Co



4.
Cd2BPPb (PBE, optimized geometry); E_tot = -0.06785 hartree per atom; V = 171.4 Å³/cell; energy relative to the elements = 8.39 eV/f.u.; D(E_F) = 2.6 states/eV per cell
1.0
5.7387 0.0000 0.0000
0.0000 5.7387 0.0000
0.0000 0.0000 5.2055
Cd B P Pb
2 1 1 1
direct
0.0000 0.5000 0.0000 Cd
0.5000 0.0000 0.0000 Cd
0.0000 0.0000 0.5000 B
0.5000 0.5000 0.5000 P
0.5000 0.5000 0.0000 Pb



5.
Tm6As3PbS2 (PBE, optimized geometry); E_tot = -0.21474 hartree per atom; V = 283.7 Å³/cell; D(E_F) = 2.5 states/eV per cell
1.0
8.8323 -2.0084 0.0000
8.8323 2.0084 0.0000
-1.8599 0.0000 7.9956
Tm As Pb S
6 3 1 2
direct
0.0027 0.0027 0.2680 Tm
0.3267 0.3267 0.9132 Tm
0.3324 0.3324 0.4145 Tm
0.6676 0.6676 0.5855 Tm
0.6733 0.6733 0.0868 Tm
0.9973 0.9973 0.7320 Tm
0.1654 0.1654 0.8305 As
0.5000 0.5000 0.5000 As
0.8346 0.8346 0.1695 As
0.5000 0.5000 0.0000 Pb
0.1705 0.1705 0.3408 S
0.8295 0.8295 0.6592 S



6.
AcCe2DySe4 (PBE, optimized geometry); E_tot = -0.22427 hartree per atom; V = 216.8 Å³/cell; D(E_F) = 13.5 states/eV per cell
1.0
7.3689 0.0000 0.0000
0.0000 4.2164 0.0000
-2.4103 0.0000 6.9775
Ac Ce Dy Se
1 2 1 4
direct
0.0000 0.0000 0.0000 Ac
0.5000 0.0000 0.5000 Ce
0.5000 0.5000 0.0000 Ce
0.0000 0.5000 0.5000 Dy
0.2461 0.0000 0.7350 Se
0.2563 0.5000 0.2666 Se
0.7437 0.5000 0.7334 Se
0.7539 0.0000 0.2650 Se



7.
UTl3Cd2Te6 (PBE, optimized geometry); E_tot = -0.13426 hartree per atom; V = 405.0 Å³/cell; D(E_F) = 0.1 states/eV per cell
1.0
3.7721 -6.5705 0.0000
3.7721 6.5705 0.0000
-2.4756 0.0000 8.1702
U Tl Cd Te
1 3 2 6
direct
0.0000 0.0000 0.0000 U
0.1661 0.8339 0.5000 Tl
0.5000 0.5000 0.5000 Tl
0.8339 0.1661 0.5000 Tl
0.3334 0.6666 0.0000 Cd
0.6666 0.3334 0.0000 Cd
0.0724 0.3981 0.2117 Te
0.2532 0.2532 0.7832 Te
0.3981 0.0724 0.2117 Te
0.6019 0.9276 0.7883 Te
0.7468 0.7468 0.2168 Te
0.9276 0.6019 0.7883 Te



8.
Dy3TmSn2 (PBE, optimized geometry); E_tot = -0.18210 hartree per atom; V = 343.9 Å³/cell; energy relative to the elements = -3.45 eV/f.u.; D(E_F) = 9.4 states/eV per cell
1.0
-3.1959 8.4217 3.1945
3.1959 -8.4217 3.1945
3.1959 8.4217 -3.1945
Dy Tm Sn
6 2 4
direct
0.1727 0.2493 0.4220 Dy
0.2500 0.2500 0.0000 Dy
0.3273 0.7493 0.0765 Dy
0.6727 0.2507 0.9235 Dy
0.7500 0.7500 0.0000 Dy
0.8273 0.7507 0.5780 Dy
0.2500 0.7500 0.5000 Tm
0.7500 0.2500 0.5000 Tm
0.1397 0.7483 0.8880 Sn
0.3603 0.2483 0.6086 Sn
0.6397 0.7517 0.3914 Sn
0.8603 0.2517 0.1120 Sn



9.
ScCuRu2C (PBE, optimized geometry); E_tot = -0.28633 hartree per atom; V = 66.2 Å³/cell; energy relative to the elements = -0.75 eV/f.u.; D(E_F) = 1.7 states/eV per cell
1.0
4.1144 0.0000 0.0000
0.0000 4.1144 0.0000
0.0000 0.0000 3.9094
Sc Cu Ru C
1 1 2 1
direct
0.0000 0.0000 0.0000 Sc
0.5000 0.5000 0.0000 Cu
0.0000 0.5000 0.5000 Ru
0.5000 0.0000 0.5000 Ru
0.5000 0.5000 0.5000 C



10.
CoBBr2 (PBE, optimized geometry); E_tot = -0.12044 hartree per atom; V = 389.7 Å³/cell; relative energy among the computed polymorphs = 0.0 meV per atom; D(E_F) = 24.0 states/eV per cell
1.0
6.0986 0.0000 0.0000
0.0000 6.0986 0.0000
0.0000 0.0000 10.4778
Co B Br
4 4 8
direct
0.0000 0.0000 0.0000 Co
0.0000 0.5000 0.2500 Co
0.5000 0.0000 0.7500 Co
0.5000 0.5000 0.5000 Co
0.0000 0.0000 0.5000 B
0.0000 0.5000 0.7500 B
0.5000 0.0000 0.2500 B
0.5000 0.5000 0.0000 B
0.2160 0.2500 0.1250 Br
0.2500 0.7160 0.3750 Br
0.2500 0.7840 0.8750 Br
0.2840 0.2500 0.6250 Br
0.7160 0.7500 0.6250 Br
0.7500 0.2160 0.8750 Br
0.7500 0.2840 0.3750 Br
0.7840 0.7500 0.1250 Br



11.
Cd5AgPt (PBE, optimized geometry); E_tot = -0.07298 hartree per atom; V = 287.3 Å³/cell; energy relative to the elements = -0.43 eV/f.u.; D(E_F) = 4.7 states/eV per cell
1.0
3.7787 -4.0120 0.0000
3.7787 4.0120 0.0000
-3.2410 0.0000 9.4769
Cd Ag Pt
10 2 2
direct
0.0204 0.3853 0.8298 Cd
0.1575 0.8425 0.7500 Cd
0.2401 0.5274 0.4704 Cd
0.3853 0.0204 0.3298 Cd
0.4726 0.7599 0.0296 Cd
0.5274 0.2401 0.9704 Cd
0.6147 0.9796 0.6702 Cd
0.7599 0.4726 0.5296 Cd
0.8425 0.1575 0.2500 Cd
0.9796 0.6147 0.1702 Cd
0.0000 0.0000 0.0000 Ag
0.0000 0.0000 0.5000 Ag
0.4883 0.5117 0.2500 Pt
0.5117 0.4883 0.7500 Pt



12.
HoP2Ir3 (PBE, optimized geometry); E_tot = -0.28890 hartree per atom; V = 285.9 Å³/cell; energy relative to the elements = -5.19 eV/f.u.; D(E_F) = 5.0 states/eV per cell
1.0
7.9504 -1.9447 0.0000
7.9504 1.9447 0.0000
-2.9369 0.0000 9.2471
Ho P Ir
3 6 9
direct
0.0000 0.0000 0.0000 Ho
0.1525 0.1525 0.6903 Ho
0.8475 0.8475 0.3097 Ho
0.2010 0.2010 0.1347 P
0.3645 0.3645 0.5481 P
0.4595 0.4595 0.2214 P
0.5405 0.5405 0.7786 P
0.6355 0.6355 0.4519 P
0.7990 0.7990 0.8653 P
0.0402 0.0402 0.3192 Ir
0.2259 0.2259 0.3940 Ir
0.3243 0.3243 0.0539 Ir
0.3694 0.3694 0.7923 Ir
0.5000 0.5000 0.5000 Ir
0.6306 0.6306 0.2077 Ir
0.6757 0.6757 0.9461 Ir
0.7741 0.7741 0.6060 Ir
0.9598 0.9598 0.6808 Ir



What did the fifth record say?
Tm6As3PbS2 (PBE, optimized geometry); E_tot = -0.21474 hartree per atom; V = 283.7 Å³/cell; D(E_F) = 2.5 states/eV per cell
1.0
8.8323 -2.0084 0.0000
8.8323 2.0084 0.0000
-1.8599 0.0000 7.9956
Tm As Pb S
6 3 1 2
direct
0.0027 0.0027 0.2680 Tm
0.3267 0.3267 0.9132 Tm
0.3324 0.3324 0.4145 Tm
0.6676 0.6676 0.5855 Tm
0.6733 0.6733 0.0868 Tm
0.9973 0.9973 0.7320 Tm
0.1654 0.1654 0.8305 As
0.5000 0.5000 0.5000 As
0.8346 0.8346 0.1695 As
0.5000 0.5000 0.0000 Pb
0.1705 0.1705 0.3408 S
0.8295 0.8295 0.6592 S